# 1
K3Mo2Cl9: single point on PBEsol structure, SCAN.

a = 6.9867 Å, b = 6.9867 Å, c = 17.1458 Å
α = 90.00°, β = 90.00°, γ = 120.00°
Space group P6_3/m (No. 176)
Symmetry-distinct sites (fractional):
K1 0.0000 0.0000 0.2500
K2 0.3333 0.6667 0.0593
Mo1 0.3333 0.6667 0.6706
Cl1 0.0010 0.4560 0.7500
Cl2 0.1279 0.7807 0.5917

* formation energy from raw total energies: -1.587 eV per atom

=====

# 2
Mg5Ga2: single point on PBEsol structure, SCAN.

a = 6.989 Å, b = 13.545 Å, c = 5.952 Å
α = 90.00°, β = 90.00°, γ = 90.00°
Space group Ibam (No. 72)
Symmetry-distinct sites (fractional):
Mg1 0.000 0.000 0.250
Mg2 0.000 0.232 0.250
Mg3 0.154 0.417 0.000
Ga1 0.236 0.377 0.500

* E_form: -0.160 eV/atom

=====

# 3
Li3AsCl: single point on PBEsol structure, SCAN.

a = 4.471 Å, b = 4.471 Å, c = 4.471 Å
α = 90.00°, β = 90.00°, γ = 90.00°
Space group Pm-3m (No. 221)
Symmetry-distinct sites (fractional):
Li1 0.000 0.000 0.500
As1 0.500 0.500 0.500
Cl1 0.000 0.000 0.000

* formation energy from raw total energies: -0.878 eV per atom